The following is a DFT calculation (GGA-PBE) of a relaxed structure of Pu4In16Ag3.

Computed properties:
DOS at the Fermi energy   49.793 states/eV per cell
ΔH_f (0 K)   -0.124 eV per atom
Symmetry   P4/mmm (123)
Energy   -0.1798 Ha/atom

Geometry as CIF:
```
data_Pu4In16Ag3
_cell_length_a 6.904
_cell_length_b 6.904
_cell_length_c 12.141
_cell_angle_alpha 90.00
_cell_angle_beta 90.00
_cell_angle_gamma 90.00
_space_group_name_H-M_alt 'P 1'
_space_group_IT_number 1
loop_
_space_group_symop_operation_xyz
'x,y,z'
loop_
_atom_site_label
_atom_site_fract_x
_atom_site_fract_y
_atom_site_fract_z
Pu1 0.000 0.500 0.187
Pu2 0.000 0.500 0.813
Pu3 0.500 0.000 0.187
Pu4 0.500 0.000 0.813
In1 0.000 0.000 0.198
In2 0.000 0.000 0.802
In3 0.219 0.219 0.000
In4 0.219 0.781 0.000
In5 0.244 0.244 0.371
In6 0.244 0.244 0.629
In7 0.244 0.756 0.371
In8 0.244 0.756 0.629
In9 0.500 0.500 0.225
In10 0.500 0.500 0.775
In11 0.756 0.244 0.371
In12 0.756 0.244 0.629
In13 0.756 0.756 0.371
In14 0.756 0.756 0.629
In15 0.781 0.219 0.000
In16 0.781 0.781 0.000
Ag1 0.000 0.500 0.500
Ag2 0.500 0.000 0.500
Ag3 0.500 0.500 0.000
```

=====

The following is a DFT calculation (GGA-PBE) of a relaxed structure of Pu3In4Ag2.

Computed properties:
DOS at the Fermi energy   24.975 states/eV per cell
ΔH_f (0 K)   -0.181 eV per atom
Symmetry   C2/m (12)
Energy   -0.2502 Ha/atom

Geometry as CIF:
```
data_Pu3In4Ag2
_cell_length_a 5.997
_cell_length_b 5.997
_cell_length_c 9.251
_cell_angle_alpha 121.02
_cell_angle_beta 121.02
_cell_angle_gamma 50.81
_space_group_name_H-M_alt 'P 1'
_space_group_IT_number 1
loop_
_space_group_symop_operation_xyz
'x,y,z'
loop_
_atom_site_label
_atom_site_fract_x
_atom_site_fract_y
_atom_site_fract_z
Pu1 0.000 0.000 0.000
Pu2 0.002 0.002 0.667
Pu3 0.998 0.998 0.333
In1 0.327 0.327 0.391
In2 0.341 0.341 0.055
In3 0.659 0.659 0.945
In4 0.673 0.673 0.609
Ag1 0.331 0.331 0.720
Ag2 0.669 0.669 0.280
```

=====

The following is a DFT calculation (GGA-PBE) of a relaxed structure of PuIn3Ag8.

Computed properties:
DOS at the Fermi energy   17.495 states/eV per cell
ΔH_f (0 K)   0.008 eV per atom
Symmetry   P3m1 (156)
Energy   -0.1386 Ha/atom

Geometry as CIF:
```
data_PuIn3Ag8
_cell_length_a 5.606
_cell_length_b 5.606
_cell_length_c 9.248
_cell_angle_alpha 90.00
_cell_angle_beta 90.00
_cell_angle_gamma 120.00
_space_group_name_H-M_alt 'P 1'
_space_group_IT_number 1
loop_
_space_group_symop_operation_xyz
'x,y,z'
loop_
_atom_site_label
_atom_site_fract_x
_atom_site_fract_y
_atom_site_fract_z
Pu1 0.000 0.000 0.000
In1 0.000 0.000 0.371
In2 0.667 0.333 0.502
In3 0.667 0.333 0.875
Ag1 0.164 0.328 0.682
Ag2 0.164 0.836 0.682
Ag3 0.333 0.667 0.433
Ag4 0.333 0.667 0.932
Ag5 0.502 0.005 0.186
Ag6 0.502 0.498 0.186
Ag7 0.672 0.836 0.682
Ag8 0.995 0.498 0.186
```